Density functional theory data (PBEsol) for crystalline CaBSe2 at its relaxed geometry.

Output
For the energy relative to the elements, uncorrected, the calculation gives 0.203 eV/atom.

a = 3.4317 Å, b = 3.4317 Å, c = 24.3645 Å
α = 90.00°, β = 90.00°, γ = 120.00°
Space group R-3m (No. 166, hexagonal axes)
One atom of each set of equivalent atoms:
Ca (0.0000, 0.0000, 0.0000) (multiplicity 3)
B (0.0000, 0.0000, 0.5000) (multiplicity 3)
Se (0.0000, 0.0000, 0.1158) (multiplicity 6)